# 1
TmSc3Ni: optimized geometry, GGA-PBE.

Cell lengths 4.962, 4.962, 4.962 Å; angles 90.00, 90.00, 90.00 degrees
Space group Pm-3m (No. 221)
Inequivalent atoms, fractional coordinates:
1 Tm 0.000 0.000 0.000 [1 per cell]
2 Sc 0.000 0.500 0.500 [3 per cell]
3 Ni 0.500 0.500 0.500 [1 per cell]

Distance to the lowest polymorph of the same formula in meV per atom: 63
Final energy in eV per atom: -5.9149
DFT formation energy in eV per atom: -0.07
Total magnetization in μB per cell: 0.000
N(E_F) in states/eV/cell: 7.12

=====

# 2
ScOF2: optimized geometry, GGA-PBE.

Cell lengths 3.464, 3.464, 14.469 Å; angles 90.00, 90.00, 90.00 degrees
Space group I-42d (No. 122)
Inequivalent atoms, fractional coordinates:
1 Sc 0.000 0.000 0.000 [4 per cell]
2 O 0.000 0.000 0.500 [4 per cell]
3 F 0.211 0.250 0.125 [8 per cell]

Final energy in eV per atom: -6.2444
E_form (uncorrected) in eV per atom: -2.4863
Total magnetization in μB per cell: 4.000
N(E_F) in states/eV/cell: 0.00

=====

# 3
CsSn2AsI8: optimized geometry, GGA-PBE.

Cell lengths 7.615, 8.081, 10.418 Å; angles 74.05, 80.33, 76.74 degrees
Space group P-1 (No. 2)
Inequivalent atoms, fractional coordinates:
1 Cs 0.000 0.000 0.000 [1 per cell]
2 Sn 0.449 0.439 0.239 [2 per cell]
3 As 0.000 0.000 0.500 [1 per cell]
4 I 0.150 0.733 0.728 [2 per cell]
5 I 0.240 0.807 0.320 [2 per cell]
6 I 0.267 0.210 0.489 [2 per cell]
7 I 0.393 0.274 0.029 [2 per cell]

Final energy in eV per atom: -2.6647
E_form (uncorrected) in eV per atom: -0.5056
Total magnetization in μB per cell: 0.000

=====

# 4
Y2HfBeBr: optimized geometry, GGA-PBE.

Cell lengths 5.713, 5.713, 5.031 Å; angles 90.00, 90.00, 90.00 degrees
Space group P4/mmm (No. 123)
Inequivalent atoms, fractional coordinates:
1 Y 0.000 0.500 0.000 [2 per cell]
2 Hf 0.000 0.000 0.000 [1 per cell]
3 Be 0.500 0.500 0.500 [1 per cell]
4 Br 0.000 0.000 0.500 [1 per cell]

Final energy in eV per atom: -4.7143
E_form (uncorrected) in eV per atom: 0.9419
Total magnetization in μB per cell: 0.000
N(E_F) in states/eV/cell: 4.94